[1]
Material: NaYTl6
Method: DFT, GGA-PBE
State: optimized geometry

Structure (POSCAR):
```
NaYTl6
1.0
4.766 -4.777 0.000
4.766 4.777 0.000
0.000 0.000 4.907
Na Y Tl
1 1 6
direct
0.000 0.000 0.000
0.500 0.500 0.000
0.000 0.500 0.000
0.251 0.251 0.500
0.251 0.749 0.500
0.500 0.000 0.000
0.749 0.251 0.500
0.749 0.749 0.500
```

Its space-group type is Cmmm (65). The polymorph energy (0 for the lowest one) is 0 meV/atom. The formation energy is -129 meV/atom.



[2]
Material: NaY2Tl6
Method: DFT, GGA-PBE
State: optimized geometry

Structure (POSCAR):
```
NaY2Tl6
1.0
4.300 -8.398 0.000
4.300 8.398 0.000
0.000 0.000 3.592
Na Y Tl
1 2 6
direct
0.000 0.000 0.000
0.307 0.693 0.500
0.693 0.307 0.500
0.026 0.347 0.000
0.320 0.320 0.500
0.347 0.026 0.000
0.653 0.974 0.000
0.680 0.680 0.500
0.974 0.653 0.000
```

Its space-group type is Cmmm (65). The formation energy is -98 meV/atom.



[3]
Material: NaYTl3
Method: DFT, GGA-PBE
State: optimized geometry

Structure (POSCAR):
```
NaYTl3
1.0
7.920 -2.707 0.000
7.920 2.707 0.000
-1.279 0.000 6.506
Na Y Tl
2 2 6
direct
0.199 0.199 0.132
0.801 0.801 0.868
0.391 0.391 0.558
0.609 0.609 0.442
0.004 0.004 0.259
0.199 0.199 0.642
0.404 0.404 0.072
0.596 0.596 0.928
0.801 0.801 0.358
0.996 0.996 0.741
```

Its space-group type is C2/m (12). The polymorph energy (0 for the lowest one) is 0 meV/atom. The formation energy is -158 meV/atom.



[4]
Material: Na2YTl
Method: DFT, GGA-PBE
State: optimized geometry

Structure (POSCAR):
```
Na2YTl
1.0
1.720 0.993 12.446
-1.720 0.993 12.446
0.000 -1.986 12.446
Na Y Tl
2 1 1
direct
0.091 0.091 0.091
0.909 0.909 0.909
0.000 0.000 0.000
0.500 0.500 0.500
```

Its space-group type is R-3m (166). The formation energy is 156 meV/atom.